Record 1
Entry from the Alexandria database: an optimized crystal structure of ScUCu2O8 (PBE-GGA).

Cell and atoms, written as CIF:
```
data_ScUCu2O8
_symmetry_space_group_name_H-M 'P 1'
_symmetry_Int_Tables_number 1
_symmetry_space_group_name_Hall 'P 1'
_cell_length_a 5.785
_cell_length_b 5.785
_cell_length_c 5.785
_cell_angle_alpha 109.29
_cell_angle_beta 109.29
_cell_angle_gamma 109.84
loop_
_atom_site_label
_atom_site_fract_x
_atom_site_fract_y
_atom_site_fract_z
_atom_site_occupancy
Sc1 0.000 0.000 0.000 1
U1 0.750 0.250 0.500 1
Cu1 0.250 0.750 0.500 1
Cu2 0.500 0.500 0.000 1
O1 0.045 0.361 0.316 1
O2 0.045 0.729 0.684 1
O3 0.105 0.295 0.810 1
O4 0.271 0.955 0.316 1
O5 0.484 0.295 0.190 1
O6 0.639 0.955 0.684 1
O7 0.705 0.516 0.810 1
O8 0.705 0.895 0.190 1
```

Values from the calculation:
formation energy without anion corrections: -162 kJ per mole of atoms
magnetization: 0.27 μB/atom

Record 2
Entry from the Alexandria database: an optimized crystal structure of RbCe4Ag3S12 (PBE-GGA).

Cell and atoms, written as CIF:
```
data_RbCe4Ag3S12
_symmetry_space_group_name_H-M 'P 1'
_symmetry_Int_Tables_number 1
_symmetry_space_group_name_Hall 'P 1'
_cell_length_a 8.707
_cell_length_b 8.707
_cell_length_c 8.707
_cell_angle_alpha 109.47
_cell_angle_beta 109.47
_cell_angle_gamma 109.47
loop_
_atom_site_label
_atom_site_fract_x
_atom_site_fract_y
_atom_site_fract_z
_atom_site_occupancy
Rb1 0.000 0.000 0.000 1
Ce1 0.000 0.000 0.500 1
Ce2 0.000 0.500 0.000 1
Ce3 0.500 0.000 0.000 1
Ce4 0.500 0.500 0.500 1
Ag1 0.000 0.500 0.500 1
Ag2 0.500 0.000 0.500 1
Ag3 0.500 0.500 0.000 1
S1 0.152 0.318 0.835 1
S2 0.165 0.483 0.318 1
S3 0.165 0.848 0.682 1
S4 0.318 0.165 0.483 1
S5 0.318 0.835 0.152 1
S6 0.483 0.318 0.165 1
S7 0.517 0.682 0.835 1
S8 0.682 0.165 0.848 1
S9 0.682 0.835 0.517 1
S10 0.835 0.152 0.318 1
S11 0.835 0.517 0.682 1
S12 0.848 0.682 0.165 1
```

Values from the calculation:
formation energy without anion corrections: -97 kJ per mole of atoms
magnetization: 0.00 μB/atom

Record 3
Entry from the Alexandria database: an optimized crystal structure of Sr2GeF (PBE-GGA).

Cell and atoms, written as CIF:
```
data_Sr2GeF
_symmetry_space_group_name_H-M 'P 1'
_symmetry_Int_Tables_number 1
_symmetry_space_group_name_Hall 'P 1'
_cell_length_a 5.305
_cell_length_b 5.305
_cell_length_c 5.305
_cell_angle_alpha 60.00
_cell_angle_beta 60.00
_cell_angle_gamma 60.00
loop_
_atom_site_label
_atom_site_fract_x
_atom_site_fract_y
_atom_site_fract_z
_atom_site_occupancy
Sr1 0.250 0.250 0.250 1
Sr2 0.750 0.750 0.750 1
Ge1 0.000 0.000 0.000 1
F1 0.500 0.500 0.500 1
```

Values from the calculation:
excess energy over the best structure of this formula in the dataset: 0.387 eV per atom
formation energy without anion corrections: -125 kJ per mole of atoms
magnetization: 0.25 μB/atom

Record 4
Entry from the Alexandria database: an optimized crystal structure of Pr2Al4AgPt3 (PBE-GGA).

Cell and atoms, written as CIF:
```
data_Pr2Al4AgPt3
_symmetry_space_group_name_H-M 'P 1'
_symmetry_Int_Tables_number 1
_symmetry_space_group_name_Hall 'P 1'
_cell_length_a 4.332
_cell_length_b 4.332
_cell_length_c 10.551
_cell_angle_alpha 90.00
_cell_angle_beta 90.00
_cell_angle_gamma 90.00
loop_
_atom_site_label
_atom_site_fract_x
_atom_site_fract_y
_atom_site_fract_z
_atom_site_occupancy
Pr1 0.000 0.500 0.243 1
Pr2 0.500 0.000 0.757 1
Al1 0.000 0.000 0.000 1
Al2 0.000 0.500 0.633 1
Al3 0.500 0.000 0.367 1
Al4 0.500 0.500 0.000 1
Ag1 0.000 0.000 0.500 1
Pt1 0.000 0.500 0.870 1
Pt2 0.500 0.000 0.130 1
Pt3 0.500 0.500 0.500 1
```

Values from the calculation:
magnetization: 0.00 μB/atom
total energy: -54.92 eV for the cell shown

Record 5
Entry from the Alexandria database: an optimized crystal structure of Ho3SiS2 (PBE-GGA).

Cell and atoms, written as CIF:
```
data_Ho3SiS2
_symmetry_space_group_name_H-M 'P 1'
_symmetry_Int_Tables_number 1
_symmetry_space_group_name_Hall 'P 1'
_cell_length_a 7.536
_cell_length_b 7.536
_cell_length_c 6.406
_cell_angle_alpha 90.00
_cell_angle_beta 90.00
_cell_angle_gamma 89.21
loop_
_atom_site_label
_atom_site_fract_x
_atom_site_fract_y
_atom_site_fract_z
_atom_site_occupancy
Ho1 0.103 0.897 0.750 1
Ho2 0.259 0.432 0.750 1
Ho3 0.432 0.259 0.250 1
Ho4 0.568 0.741 0.750 1
Ho5 0.741 0.568 0.250 1
Ho6 0.897 0.103 0.250 1
Si1 0.372 0.628 0.250 1
Si2 0.628 0.372 0.750 1
S1 0.168 0.168 0.000 1
S2 0.168 0.168 0.500 1
S3 0.832 0.832 0.000 1
S4 0.832 0.832 0.500 1
```

Values from the calculation:
excess energy over the best structure of this formula in the dataset: 0.805 eV per atom
formation energy without anion corrections: -80 kJ per mole of atoms
magnetization: 0.00 μB/atom

Record 6
Entry from the Alexandria database: an optimized crystal structure of TlBPt3 (PBE-GGA).

Cell and atoms, written as CIF:
```
data_TlBPt3
_symmetry_space_group_name_H-M 'P 1'
_symmetry_Int_Tables_number 1
_symmetry_space_group_name_Hall 'P 1'
_cell_length_a 2.872
_cell_length_b 5.486
_cell_length_c 5.515
_cell_angle_alpha 78.18
_cell_angle_beta 76.99
_cell_angle_gamma 76.72
loop_
_atom_site_label
_atom_site_fract_x
_atom_site_fract_y
_atom_site_fract_z
_atom_site_occupancy
Tl1 0.000 0.000 0.000 1
B1 0.105 0.406 0.408 1
Pt1 0.453 0.606 0.608 1
Pt2 0.671 0.514 0.095 1
Pt3 0.678 0.092 0.516 1
```

Values from the calculation:
excess energy over the best structure of this formula in the dataset: 0.000 eV per atom
magnetization: 0.00 μB/atom

Record 7
Entry from the Alexandria database: an optimized crystal structure of HfZrSi2 (PBE-GGA).

Cell and atoms, written as CIF:
```
data_HfZrSi2
_symmetry_space_group_name_H-M 'P 1'
_symmetry_Int_Tables_number 1
_symmetry_space_group_name_Hall 'P 1'
_cell_length_a 3.747
_cell_length_b 5.291
_cell_length_c 5.291
_cell_angle_alpha 41.60
_cell_angle_beta 90.00
_cell_angle_gamma 90.00
loop_
_atom_site_label
_atom_site_fract_x
_atom_site_fract_y
_atom_site_fract_z
_atom_site_occupancy
Hf1 0.000 0.000 0.000 1
Zr1 0.500 0.290 0.290 1
Si1 0.000 0.724 0.724 1
Si2 0.500 0.566 0.566 1
```

Values from the calculation:
excess energy over the best structure of this formula in the dataset: 0.002 eV per atom
formation energy without anion corrections: -85 kJ per mole of atoms
magnetization: 0.00 μB/atom

Record 8
Entry from the Alexandria database: an optimized crystal structure of Tb2AuS (PBE-GGA).

Cell and atoms, written as CIF:
```
data_Tb2AuS
_symmetry_space_group_name_H-M 'P 1'
_symmetry_Int_Tables_number 1
_symmetry_space_group_name_Hall 'P 1'
_cell_length_a 7.716
_cell_length_b 7.716
_cell_length_c 7.716
_cell_angle_alpha 29.01
_cell_angle_beta 29.01
_cell_angle_gamma 29.01
loop_
_atom_site_label
_atom_site_fract_x
_atom_site_fract_y
_atom_site_fract_z
_atom_site_occupancy
Tb1 0.000 0.000 0.000 1
Tb2 0.180 0.180 0.180 1
Au1 0.422 0.422 0.422 1
S1 0.592 0.592 0.592 1
```

Values from the calculation:
excess energy over the best structure of this formula in the dataset: 0.089 eV per atom
formation energy without anion corrections: -129 kJ per mole of atoms
magnetization: 0.00 μB/atom

Record 9
Entry from the Alexandria database: an optimized crystal structure of Pr2Tm2Hg (PBE-GGA).

Cell and atoms, written as CIF:
```
data_Pr2Tm2Hg
_symmetry_space_group_name_H-M 'P 1'
_symmetry_Int_Tables_number 1
_symmetry_space_group_name_Hall 'P 1'
_cell_length_a 11.925
_cell_length_b 11.925
_cell_length_c 11.925
_cell_angle_alpha 162.55
_cell_angle_beta 162.55
_cell_angle_gamma 24.77
loop_
_atom_site_label
_atom_site_fract_x
_atom_site_fract_y
_atom_site_fract_z
_atom_site_occupancy
Pr1 0.192 0.192 0.000 1
Pr2 0.808 0.808 0.000 1
Tm1 0.418 0.418 0.000 1
Tm2 0.582 0.582 0.000 1
Hg1 0.000 0.000 0.000 1
```

Values from the calculation:
excess energy over the best structure of this formula in the dataset: 0.000 eV per atom
magnetization: 0.00 μB/atom

Look up the magnetization of the eighth one. 0.00 μB/atom

What did the fifth record say?
Entry from the Alexandria database: an optimized crystal structure of Ho3SiS2 (PBE-GGA).

Cell and atoms, written as CIF:
```
data_Ho3SiS2
_symmetry_space_group_name_H-M 'P 1'
_symmetry_Int_Tables_number 1
_symmetry_space_group_name_Hall 'P 1'
_cell_length_a 7.536
_cell_length_b 7.536
_cell_length_c 6.406
_cell_angle_alpha 90.00
_cell_angle_beta 90.00
_cell_angle_gamma 89.21
loop_
_atom_site_label
_atom_site_fract_x
_atom_site_fract_y
_atom_site_fract_z
_atom_site_occupancy
Ho1 0.103 0.897 0.750 1
Ho2 0.259 0.432 0.750 1
Ho3 0.432 0.259 0.250 1
Ho4 0.568 0.741 0.750 1
Ho5 0.741 0.568 0.250 1
Ho6 0.897 0.103 0.250 1
Si1 0.372 0.628 0.250 1
Si2 0.628 0.372 0.750 1
S1 0.168 0.168 0.000 1
S2 0.168 0.168 0.500 1
S3 0.832 0.832 0.000 1
S4 0.832 0.832 0.500 1
```

Values from the calculation:
excess energy over the best structure of this formula in the dataset: 0.805 eV per atom
formation energy without anion corrections: -80 kJ per mole of atoms
magnetization: 0.00 μB/atom

What is the magnetization in the first record? 0.27 μB/atom

Look up the magnetization of the fourth one. 0.00 μB/atom